KCrSeF2: optimized geometry, PBE with a Hubbard U.

Output
Uncorrected energy: -0.1395 hartree per atom
Crystal system: tetragonal
Total moment: 3.0 Bohr magnetons per cell

a b c (Å): 4.4755 6.2284 4.4755
angles (deg): 90.00 90.00 90.00
Last column: magnetic moment on the atom in μB.
Element x y z (fractional)
Cr: 0.0000 0.5000 0.0000  4.27
K: 0.0000 0.0000 0.0000  -0.02
Se: 0.5000 0.5000 0.5000  -0.72
F: 0.0000 0.0000 0.5000  -0.30
F: 0.5000 0.0000 0.0000  -0.11